No. 1
A geometry-optimized CrNiIr2 structure, computed with PBE-GGA.

```
CrNiIr2
1.0
5.223 0.011 -0.027
2.598 4.531 0.027
-3.304 -3.315 2.318
Ni Cr Ir
1 1 2
Direct
0.750 0.250 0.500
0.250 0.750 0.500
0.480 0.480 0.000
0.020 0.020 0.000
```

**Energy relative to the elements**: 0.151 eV per atom
**Fermi-level density of states**: 5.48 states/eV/f.u.
**Mass density**: 14.93 Mg/m³
**Symmetry**: Immm
**Uncorrected energy**: -8.13 eV/atom

No. 2
A geometry-optimized Ca2In9Pb structure, computed with PBE-GGA.

```
Ca2In9Pb
1.0
-3.986 -0.563 2.576
-0.204 -4.589 -1.318
7.804 -3.590 11.291
In Ca Pb
9 2 1
Direct
0.500 0.000 0.170
0.500 0.000 0.830
0.000 0.500 0.170
0.500 0.500 0.661
0.000 0.500 0.500
0.500 0.000 0.500
0.000 0.500 0.830
0.500 0.500 0.000
0.500 0.500 0.339
0.000 0.000 0.335
0.000 0.000 0.665
0.000 0.000 0.000
```

**Energy relative to the elements**: -0.197 eV per atom
**Fermi-level density of states**: 4.24 states/eV/f.u.
**Mass density**: 6.77 Mg/m³
**Symmetry**: P4/mmm
**Uncorrected energy**: -2.89 eV/atom

No. 3
A geometry-optimized Tl2AsPt structure, computed with PBE-GGA.

```
Tl2AsPt
1.0
-3.184 0.204 3.919
3.755 -0.459 3.350
0.055 3.606 -3.539
As Tl Pt
1 2 1
Direct
0.500 0.500 0.000
0.000 0.000 0.000
0.250 0.750 0.500
0.750 0.250 0.500
```

**Energy relative to the elements**: 0.256 eV per atom
**Fermi-level density of states**: 2.35 states/eV/f.u.
**Mass density**: 12.64 Mg/m³
**Symmetry**: I-4m2
**Uncorrected energy**: -3.60 eV/atom
**Energy above the lowest structure with this stoichiometry**: 0.4387 eV/atom

No. 4
A geometry-optimized TmZrBi2 structure, computed with PBE-GGA.

```
TmZrBi2
1.0
3.356 0.000 0.000
0.000 5.609 0.000
0.000 0.000 5.609
Bi Tm Zr
2 1 1
Direct
0.000 0.000 0.500
0.000 0.500 0.000
0.500 0.500 0.500
0.500 0.000 0.000
```

**Energy relative to the elements**: -0.323 eV per atom
**Fermi-level density of states**: 4.52 states/eV/f.u.
**Mass density**: 10.67 Mg/m³
**Symmetry**: P4/mmm
**Uncorrected energy**: -5.52 eV/atom
**Energy above the lowest structure with this stoichiometry**: 0.1478 eV/atom

No. 5
A geometry-optimized MgSbPO2 structure, computed with PBE-GGA.

```
MgSbPO2
1.0
3.913 0.000 0.000
0.000 3.913 0.000
0.000 0.000 5.228
Mg O P Sb
1 2 1 1
Direct
0.000 0.000 0.000
0.500 0.000 0.000
0.000 0.500 0.000
0.000 0.000 0.500
0.500 0.500 0.500
```

**Raw formation energy**: -0.35 eV/atom
**Fermi-level density of states**: 3.19 states/eV/f.u.
**Mass density**: 4.34 Mg/m³
**Symmetry**: P4/mmm
**Uncorrected energy**: -4.56 eV/atom
**Energy above the lowest structure with this stoichiometry**: 0.3184 eV/atom

No. 6
A geometry-optimized VBrCl3 structure, computed with PBE-GGA.

```
VBrCl3
1.0
5.288 0.000 0.000
0.000 5.288 0.000
0.000 0.000 5.288
V Cl Br
1 3 1
Direct
0.500 0.500 0.500
0.500 0.000 0.000
0.000 0.500 0.000
0.000 0.000 0.500
0.000 0.000 0.000
```

**Raw formation energy**: 0.61 eV/atom
**Fermi-level density of states**: 8.30 states/eV/f.u.
**Mass density**: 2.66 Mg/m³
**Symmetry**: Pm-3m
**Uncorrected energy**: -2.65 eV/atom
**Energy above the lowest structure with this stoichiometry**: 1.6721 eV/atom